[1]
Compound: Ac2PF3
Source: the Alexandria database
Functional: GGA-PBE
Structure: optimized geometry

The size of the total moment comes out at 0.000 μB per formula unit. The formation energy from raw total energies comes out at -3.200 eV per atom. Its space-group type is C2/m, No. 12.

a = 8.232 Å, b = 8.232 Å, c = 8.224 Å
α = 116.48°, β = 116.48°, γ = 29.51°
Element x y z (fractional)
Ac 0.018 0.018 0.234
Ac 0.284 0.284 0.277
Ac 0.716 0.716 0.723
Ac 0.982 0.982 0.766
P 0.370 0.370 0.956
P 0.630 0.630 0.044
F 0.107 0.107 0.669
F 0.191 0.191 0.459
F 0.439 0.439 0.582
F 0.561 0.561 0.418
F 0.809 0.809 0.541
F 0.893 0.893 0.331

[2]
Compound: Ce2Y3PuSe6
Source: the Alexandria database
Functional: GGA-PBE
Structure: optimized geometry

The size of the total moment comes out at 8.028 μB per formula unit. The formation energy from raw total energies comes out at -1.766 eV per atom. Its space-group type is C2/m, No. 12.

a = 9.279 Å, b = 9.279 Å, c = 8.329 Å
α = 103.71°, β = 103.71°, γ = 25.60°
Element x y z (fractional)
Ce 0.167 0.167 0.334
Ce 0.833 0.833 0.666
Y 0.167 0.167 0.834
Y 0.500 0.500 0.500
Y 0.833 0.833 0.166
Pu 0.500 0.500 0.000
Se 0.002 0.002 0.748
Se 0.332 0.332 0.923
Se 0.336 0.336 0.410
Se 0.664 0.664 0.590
Se 0.668 0.668 0.077
Se 0.998 0.998 0.252

[3]
Compound: Cs2GeAuBr6
Source: the Alexandria database
Functional: GGA-PBE
Structure: optimized geometry

The size of the total moment comes out at 0.000 μB per formula unit. The formation energy from raw total energies comes out at -0.957 eV per atom. Its space-group type is I4/mmm, No. 139.

a = 7.798 Å, b = 7.798 Å, c = 7.798 Å
α = 120.35°, β = 120.35°, γ = 89.40°
Element x y z (fractional)
Cs 0.250 0.750 0.500
Cs 0.750 0.250 0.500
Ge 0.000 0.000 0.000
Au 0.500 0.500 0.000
Br 0.244 0.244 0.000
Br 0.247 0.247 0.493
Br 0.247 0.753 0.000
Br 0.753 0.247 0.000
Br 0.753 0.753 0.507
Br 0.756 0.756 0.000

[4]
Compound: BeMoPt
Source: the Alexandria database
Functional: GGA-PBE
Structure: optimized geometry

The size of the total moment comes out at 0.000 μB per formula unit. Its space-group type is Cmcm, No. 63. Its formation enthalpy at 0 K is -297 meV per atom.

a = 6.259 Å, b = 6.259 Å, c = 3.283 Å
α = 90.00°, β = 90.00°, γ = 140.55°
Element x y z (fractional)
Be 0.069 0.931 0.750
Be 0.931 0.069 0.250
Mo 0.421 0.579 0.750
Mo 0.579 0.421 0.250
Pt 0.219 0.781 0.250
Pt 0.781 0.219 0.750

[5]
Compound: KMn3P
Source: the Alexandria database
Functional: GGA-PBE
Structure: optimized geometry

The size of the total moment comes out at 11.947 μB per formula unit. Its space-group type is Pm-3m, No. 221. Its formation enthalpy at 0 K is 2323 meV per atom.

a = 4.764 Å, b = 4.764 Å, c = 4.764 Å
α = 90.00°, β = 90.00°, γ = 90.00°
Element x y z (fractional)
K 0.000 0.000 0.000
Mn 0.000 0.000 0.500
Mn 0.000 0.500 0.000
Mn 0.500 0.000 0.000
P 0.500 0.500 0.500

[6]
Compound: Mn2SiNi5
Source: the Alexandria database
Functional: GGA-PBE
Structure: optimized geometry

The size of the total moment comes out at 9.542 μB per formula unit. The formation energy from raw total energies comes out at -0.259 eV per atom. Its space-group type is Pbam, No. 55.

a = 5.011 Å, b = 9.909 Å, c = 3.714 Å
α = 90.00°, β = 90.00°, γ = 90.00°
Element x y z (fractional)
Mn 0.200 0.136 0.000
Mn 0.300 0.636 0.000
Mn 0.700 0.364 0.000
Mn 0.800 0.864 0.000
Si 0.000 0.500 0.500
Si 0.500 0.000 0.500
Ni 0.000 0.000 0.500
Ni 0.051 0.745 0.500
Ni 0.202 0.389 0.000
Ni 0.298 0.889 0.000
Ni 0.449 0.245 0.500
Ni 0.500 0.500 0.500
Ni 0.551 0.755 0.500
Ni 0.702 0.111 0.000
Ni 0.798 0.611 0.000
Ni 0.949 0.255 0.500

[7]
Compound: PrSm3Ni8
Source: the Alexandria database
Functional: GGA-PBE
Structure: optimized geometry

The size of the total moment comes out at 0.000 μB per formula unit. Its space-group type is R3m, No. 160. Its formation enthalpy at 0 K is -341 meV per atom.

a = 8.932 Å, b = 8.932 Å, c = 8.932 Å
α = 33.48°, β = 33.48°, γ = 33.48°
Element x y z (fractional)
Pr 0.000 0.000 0.000
Sm 0.125 0.125 0.125
Sm 0.500 0.500 0.500
Sm 0.624 0.624 0.624
Ni 0.062 0.062 0.560
Ni 0.062 0.560 0.062
Ni 0.063 0.563 0.563
Ni 0.312 0.312 0.312
Ni 0.560 0.062 0.062
Ni 0.563 0.063 0.563
Ni 0.563 0.563 0.063
Ni 0.812 0.812 0.812

[8]
Compound: BaGaSb
Source: the Alexandria database
Functional: GGA-PBE
Structure: optimized geometry

The size of the total moment comes out at 0.000 μB per formula unit. The formation energy from raw total energies comes out at -0.315 eV per atom. Its space-group type is Fddd, No. 70.

a = 10.912 Å, b = 9.369 Å, c = 7.634 Å
α = 79.12°, β = 57.48°, γ = 43.40°
Element x y z (fractional)
Ba 0.065 0.065 0.685
Ba 0.315 0.315 0.935
Ba 0.685 0.685 0.065
Ba 0.935 0.935 0.315
Ga 0.000 0.500 0.500
Ga 0.500 0.000 0.500
Ga 0.500 0.500 0.000
Ga 0.500 0.500 0.500
Sb 0.078 0.672 0.672
Sb 0.328 0.922 0.922
Sb 0.672 0.078 0.078
Sb 0.922 0.328 0.328

[9]
Compound: PmGd2Sc
Source: the Alexandria database
Functional: GGA-PBE
Structure: optimized geometry

The size of the total moment comes out at 16.152 μB per formula unit. Its space-group type is Fm-3m, No. 225. Its formation enthalpy at 0 K is 114 meV per atom.

a = 5.594 Å, b = 5.594 Å, c = 5.594 Å
α = 60.00°, β = 60.00°, γ = 60.00°
Element x y z (fractional)
Pm 0.000 0.000 0.000
Gd 0.250 0.250 0.250
Gd 0.750 0.750 0.750
Sc 0.500 0.500 0.500

[10]
Compound: KU2Cu2Se6
Source: the Alexandria database
Functional: GGA-PBE
Structure: optimized geometry

The size of the total moment comes out at 3.000 μB per formula unit. The formation energy from raw total energies comes out at -0.857 eV per atom. Its space-group type is P-1, No. 2.

a = 7.390 Å, b = 7.533 Å, c = 7.633 Å
α = 62.86°, β = 62.89°, γ = 60.92°
Element x y z (fractional)
K 0.000 0.000 0.000
U 0.330 0.332 0.004
U 0.670 0.668 0.996
Cu 0.447 0.677 0.565
Cu 0.553 0.323 0.435
Se 0.084 0.691 0.756
Se 0.302 0.550 0.243
Se 0.459 0.075 0.758
Se 0.541 0.925 0.242
Se 0.698 0.450 0.757
Se 0.916 0.309 0.244

[11]
Compound: Be2TlAs
Source: the Alexandria database
Functional: GGA-PBE
Structure: optimized geometry

The size of the total moment comes out at 0.000 μB per formula unit. Its space-group type is Immm, No. 71. Its formation enthalpy at 0 K is 572 meV per atom.

a = 5.006 Å, b = 5.006 Å, c = 5.006 Å
α = 137.52°, β = 100.25°, γ = 94.85°
Element x y z (fractional)
Be 0.187 0.187 0.000
Be 0.813 0.813 0.000
Tl 0.500 0.000 0.500
As 0.000 0.500 0.500

[12]
Compound: Be2AlIr2
Source: the Alexandria database
Functional: GGA-PBE
Structure: optimized geometry

The size of the total moment comes out at 0.000 μB per formula unit. Its space-group type is P4/mbm, No. 127. Its formation enthalpy at 0 K is -506 meV per atom.

a = 6.528 Å, b = 6.528 Å, c = 2.906 Å
α = 90.00°, β = 90.00°, γ = 90.00°
Element x y z (fractional)
Be 0.138 0.362 0.000
Be 0.362 0.862 0.000
Be 0.638 0.138 0.000
Be 0.862 0.638 0.000
Al 0.000 0.000 0.500
Al 0.500 0.500 0.500
Ir 0.156 0.656 0.500
Ir 0.344 0.156 0.500
Ir 0.656 0.844 0.500
Ir 0.844 0.344 0.500

[13]
Compound: Gd2IrCl
Source: the Alexandria database
Functional: GGA-PBE
Structure: optimized geometry

The size of the total moment comes out at 14.243 μB per formula unit. The formation energy from raw total energies comes out at -1.074 eV per atom. Its space-group type is P4/mmm, No. 123.

a = 3.396 Å, b = 3.396 Å, c = 8.018 Å
α = 90.00°, β = 90.00°, γ = 90.00°
Element x y z (fractional)
Gd 0.000 0.000 0.214
Gd 0.000 0.000 0.786
Ir 0.500 0.500 0.000
Cl 0.500 0.500 0.500

[14]
Compound: La8Nd2Hg
Source: the Alexandria database
Functional: GGA-PBE
Structure: optimized geometry

The size of the total moment comes out at 0.000 μB per formula unit. Its space-group type is C2/m, No. 12. Its formation enthalpy at 0 K is -57 meV per atom.

a = 10.454 Å, b = 10.454 Å, c = 6.655 Å
α = 93.91°, β = 93.91°, γ = 32.59°
Element x y z (fractional)
La 0.039 0.039 0.255
La 0.154 0.154 0.793
La 0.340 0.340 0.879
La 0.419 0.419 0.397
La 0.581 0.581 0.603
La 0.660 0.660 0.121
La 0.846 0.846 0.207
La 0.961 0.961 0.745
Nd 0.236 0.236 0.332
Nd 0.764 0.764 0.668
Hg 0.500 0.500 0.000

[15]
Compound: Tl3Ru5
Source: the Alexandria database
Functional: GGA-PBE
Structure: optimized geometry

The size of the total moment comes out at 0.000 μB per formula unit. Its space-group type is P-1, No. 2. Its formation enthalpy at 0 K is 538 meV per atom.

a = 4.599 Å, b = 8.650 Å, c = 8.679 Å
α = 108.97°, β = 98.09°, γ = 97.62°
Element x y z (fractional)
Tl 0.187 0.431 0.104
Tl 0.250 0.391 0.607
Tl 0.309 0.901 0.572
Tl 0.691 0.099 0.428
Tl 0.750 0.609 0.393
Tl 0.813 0.569 0.896
Ru 0.049 0.865 0.238
Ru 0.178 0.184 0.263
Ru 0.250 0.033 0.967
Ru 0.323 0.737 0.816
Ru 0.458 0.759 0.133
Ru 0.542 0.241 0.867
Ru 0.677 0.263 0.184
Ru 0.750 0.967 0.033
Ru 0.822 0.816 0.737
Ru 0.951 0.135 0.762

[16]
Compound: ZnRhI
Source: the Alexandria database
Functional: GGA-PBE
Structure: optimized geometry

The size of the total moment comes out at 0.000 μB per formula unit. The formation energy from raw total energies comes out at 0.233 eV per atom. Its space-group type is Amm2, No. 38.

a = 10.488 Å, b = 4.036 Å, c = 4.036 Å
α = 51.83°, β = 90.00°, γ = 90.00°
Element x y z (fractional)
Zn 0.000 0.000 0.000
Zn 0.500 0.020 0.020
Rh 0.128 0.298 0.298
Rh 0.872 0.298 0.298
I 0.307 0.728 0.728
I 0.693 0.728 0.728